# 1
Entry from Alexandria via LeMat-Bulk: a relaxed structure of PmNdIr (PBE).

Values from the calculation:
ΔE_f = -484 meV per atom
M_tot = 0.0 Bohr magnetons per cell
polymorph energy (0 for the lowest one) = 57.6 meV/atom
calculated volume = 98 Å³/cell

Structure (CIF):
```
data_PmNdIr
_space_group_name_H-M_alt 'P 3 m 1'
_space_group_IT_number 156
_space_group_name_Hall 'P 3 -2"'
_cell_length_a 4.2150
_cell_length_b 4.2150
_cell_length_c 6.3888
_cell_angle_alpha 90.00
_cell_angle_beta 90.00
_cell_angle_gamma 120.00
loop_
_atom_site_label
_atom_site_fract_x
_atom_site_fract_y
_atom_site_fract_z
Pm1 0.0000 0.0000 0.0000
Nd1 0.6667 0.3333 0.4568
Ir1 0.3333 0.6667 0.2261
```

***

# 2
Entry from Alexandria via LeMat-Bulk: a relaxed structure of Li2FePdC (PBE).

Values from the calculation:
ΔE_f = 1973 meV per atom
M_tot = 0.8 Bohr magnetons per cell
calculated volume = 85 Å³/cell

Structure (CIF):
```
data_Li2FePdC
_space_group_name_H-M_alt 'P 4/m m m'
_space_group_IT_number 123
_space_group_name_Hall '-P 4 2'
_cell_length_a 4.366
_cell_length_b 4.366
_cell_length_c 4.437
_cell_angle_alpha 90.00
_cell_angle_beta 90.00
_cell_angle_gamma 90.00
loop_
_atom_site_label
_atom_site_fract_x
_atom_site_fract_y
_atom_site_fract_z
Li1 0.000 0.500 0.000
Fe1 0.000 0.000 0.000
Pd1 0.000 0.000 0.500
C1 0.500 0.500 0.500
```

***

# 3
Entry from Alexandria via LeMat-Bulk: a relaxed structure of BaFeAg2 (PBE).

Values from the calculation:
ΔE_f = 533 meV per atom
M_tot = 6.3 Bohr magnetons per cell
polymorph energy (0 for the lowest one) = 334.0 meV/atom
calculated volume = 195 Å³/cell

Structure (CIF):
```
data_BaFeAg2
_space_group_name_H-M_alt 'I -4 m 2'
_space_group_IT_number 119
_space_group_name_Hall 'I -4 -2'
_cell_length_a 4.712
_cell_length_b 4.712
_cell_length_c 8.795
_cell_angle_alpha 90.00
_cell_angle_beta 90.00
_cell_angle_gamma 90.00
loop_
_atom_site_label
_atom_site_fract_x
_atom_site_fract_y
_atom_site_fract_z
Ba1 0.000 0.000 0.000
Fe1 0.000 0.500 0.750
Ag1 0.000 0.000 0.500
Ag2 0.000 0.500 0.250
```